1.
The following is a DFT calculation (PBE) of a geometry-optimized ThPtW structure.

The space group is F-43m (No. 216) and the conventional cell measures 6.675, 6.675 and 6.675 Å, with angles of 90.00, 90.00 and 90.00 degrees. The inequivalent atoms are Th at (0.000, 0.000, 0.000), Pt at (0.250, 0.250, 0.750) and W at (0.250, 0.250, 0.250).

The value obtained for the magnetization is 0.72 μB/atom. The value obtained for the formation energy is 0.90 eV/atom. Its total energy is -94.95 eV per cell.

=====

2.
The following is a DFT calculation (PBE) of a geometry-optimized ThPtW structure.

The space group is F-43m (No. 216) and the conventional cell measures 6.639, 6.639 and 6.639 Å, with angles of 90.00, 90.00 and 90.00 degrees. The inequivalent atoms are Th at (0.000, 0.000, 0.000), Pt at (0.250, 0.250, 0.250) and W at (0.000, 0.000, 0.500).

The value obtained for the magnetization is 0.81 μB/atom. The value obtained for the formation energy is 0.39 eV/atom. Its total energy is -101.09 eV per cell.

=====

3.
The following is a DFT calculation (PBE) of a geometry-optimized YThPt structure.

The space group is F-43m (No. 216) and the conventional cell measures 7.018, 7.018 and 7.018 Å, with angles of 90.00, 90.00 and 90.00 degrees. The inequivalent atoms are Y at (0.000, 0.000, 0.000), Th at (0.000, 0.000, 0.500) and Pt at (0.250, 0.250, 0.750).

The value obtained for the magnetization is 0.00 μB/atom. The value obtained for the formation energy is -0.66 eV/atom. Its total energy is -87.67 eV per cell.